[1]
## NaVCdF6 (PBE+U)

Data for an optimized crystal structure of NaVCdF6.

Structure (POSCAR):
```
NaVCdF6
1.0
5.5557 0.0000 0.0000
-2.7778 4.8114 0.0000
0.0000 0.0000 9.3945
F Na Cd V
12 2 2 2
direct
0.3243 0.9585 0.6321
0.3243 0.3658 0.8679
0.0415 0.6757 0.8679
0.9585 0.6342 0.3679
0.3658 0.0415 0.1321
0.3658 0.3243 0.3679
0.0415 0.3658 0.6321
0.6342 0.6757 0.6321
0.6757 0.6342 0.1321
0.6757 0.0415 0.3679
0.9585 0.3243 0.1321
0.6342 0.9585 0.8679
0.6667 0.3333 0.7500
0.3333 0.6667 0.2500
0.0000 0.0000 0.5000
0.0000 0.0000 0.0000
0.3333 0.6667 0.7500
0.6667 0.3333 0.2500
```

Results
Symmetry   P-31c, No. 163
Electronic total energy   -4.968 eV per atom


[2]
## Na2VCdF6 (PBE+U)

Data for an optimized crystal structure of Na2VCdF6.

Structure (POSCAR):
```
Na2VCdF6
1.0
5.6830 0.0000 -0.0204
0.0000 5.9147 0.0000
0.0219 0.0000 8.2187
Na F Cd V
4 12 2 2
direct
0.5124 0.5562 0.7470
0.9876 0.0562 0.7530
0.4876 0.4438 0.2530
0.0124 0.9438 0.2470
0.3737 0.9339 0.7596
0.6763 0.3008 0.9287
0.8737 0.5661 0.2596
0.3071 0.6812 0.4374
0.8237 0.8008 0.5713
0.1929 0.1812 0.0626
0.6263 0.0661 0.2404
0.8071 0.8188 0.9374
0.1763 0.1992 0.4287
0.1263 0.4339 0.7404
0.6929 0.3188 0.5626
0.3237 0.6992 0.0713
0.5000 0.0000 0.5000
0.0000 0.5000 0.0000
0.0000 0.5000 0.5000
0.5000 0.0000 0.0000
```

Results
Symmetry   P2_1/c, No. 14
Electronic total energy   -4.784 eV per atom


[3]
## Na2VCdF8 (PBE+U)

Data for an optimized crystal structure of Na2VCdF8.

Structure (POSCAR):
```
Na2VCdF8
1.0
5.0410 -0.0770 -0.0028
-0.0586 5.0589 -0.0055
0.0040 0.0076 6.9501
F V Cd Na
8 1 1 2
direct
0.7016 0.7053 0.5000
0.2984 0.2947 0.5000
0.1789 0.8185 0.7989
0.8211 0.1815 0.2011
0.2637 0.2593 0.0000
0.7363 0.7407 0.0000
0.1789 0.8185 0.2011
0.8211 0.1815 0.7989
0.0000 0.0000 0.0000
0.0000 0.0000 0.5000
0.5000 0.5000 0.2514
0.5000 0.5000 0.7486
```

Results
Symmetry   P2/m, No. 10
Electronic total energy   -4.796 eV per atom


[4]
## NaCdWF6 (PBE+U)

Data for an optimized crystal structure of NaCdWF6.

Structure (POSCAR):
```
NaCdWF6
1.0
5.7353 0.0000 0.0000
-2.8676 4.9669 0.0000
0.0000 0.0000 9.4200
F Na W Cd
12 2 2 2
direct
0.3488 0.0236 0.1301
0.0236 0.6748 0.8699
0.9764 0.6512 0.3699
0.6748 0.0236 0.3699
0.6512 0.6748 0.6301
0.6512 0.9764 0.8699
0.6748 0.6512 0.1301
0.3252 0.9764 0.6301
0.9764 0.3252 0.1301
0.3488 0.3252 0.3699
0.0236 0.3488 0.6301
0.3252 0.3488 0.8699
0.3333 0.6667 0.2500
0.6667 0.3333 0.7500
0.3333 0.6667 0.7500
0.6667 0.3333 0.2500
0.0000 0.0000 0.5000
0.0000 0.0000 0.0000
```

Results
Symmetry   P-31c, No. 163
Electronic total energy   -4.800 eV per atom